DFT (PBE) results for a geometry-optimized UGaCuAu structure.

## Properties
ΔH_f (0 K) (eV per atom): -0.0315
Crystal system: cubic
Density (Mg/m³): 12.4
Final energy (eV for the cell shown): -21.815
Total magnetic moment (μB/atom): 0.564

Structure (extended XYZ):
```
4
Lattice="0.000 3.361 3.361 3.361 0.000 3.361 3.361 3.361 0.000" Properties=species:S:1:pos:R:3 pbc="T T T"
U 0.000 0.000 0.000
Ga 3.361 3.361 3.361
Cu 5.042 5.042 5.042
Au 1.681 1.681 1.681
```